# 1
Compound: Hg2WCl
Source: the Alexandria database
Functional: PBE
Structure: relaxed

Lattice parameters (Å, degrees): 7.1938 7.1938 7.1938 90.00 90.00 90.00
With the nearest neighbours (Å) after each atom.
Space group Fm-3m (No. 225)
One atom of each set of equivalent atoms:
Hg 0.2500 0.2500 0.2500 x8  4 Cl 3.12, 4 W 3.12
W 0.0000 0.0000 0.0000 x4  8 Hg 3.12
Cl 0.0000 0.0000 0.5000 x4  8 Hg 3.12

Calculated values
Energy above the most stable polymorph in this dataset, eV per atom: 0.8095
Crystal system: cubic
Calculated volume, Å³/f.u.: 93.07

=====

# 2
Compound: HgW2Cl
Source: the Alexandria database
Functional: PBE
Structure: relaxed

Lattice parameters (Å, degrees): 13.1137 3.1240 4.9195 90.00 97.58 90.00
With the nearest neighbours (Å) after each atom.
Space group Cm (No. 8)
One atom of each set of equivalent atoms:
Hg 0.0000 0.0000 0.0000 x2  6 W 2.86-2.94, 2 Hg 3.12
W 0.1175 0.0000 0.5495 x2  2 W 2.43, 2 Cl 2.62
W 0.4745 0.0000 0.4883 x2  2 W 2.43
Cl 0.2663 0.5000 0.4326 x2  2 W 2.62

Calculated values
Energy above the most stable polymorph in this dataset, eV per atom: 0.3416
Crystal system: monoclinic
Calculated volume, Å³/f.u.: 99.89

=====

# 3
Compound: HgWCl4
Source: the Alexandria database
Functional: PBE
Structure: relaxed

Lattice parameters (Å, degrees): 11.8720 10.9981 5.5321 90.00 98.69 90.00
With the nearest neighbours (Å) after each atom.
Space group C2/c (No. 15)
One atom of each set of equivalent atoms:
Hg 0.0000 0.0104 0.2500 x4  2 Hg 2.78
W 0.0000 0.4358 0.2500 x4  6 Cl 2.35-2.43
Cl 0.1128 0.2804 0.1204 x8  1 W 2.35
Cl 0.1301 0.4147 0.6321 x8  2 W 2.41-2.43

Calculated values
Energy above the most stable polymorph in this dataset, eV per atom: 0.0000
Crystal system: monoclinic
Calculated volume, Å³/f.u.: 178.51

=====

# 4
Compound: HgW2Cl
Source: the Alexandria database
Functional: PBE
Structure: relaxed

Lattice parameters (Å, degrees): 3.2095 4.9386 10.2426 90.00 90.00 90.00
With the nearest neighbours (Å) after each atom.
Space group Cmm2 (No. 35)
One atom of each set of equivalent atoms:
Hg 0.0000 0.0000 0.0000 x2  6 Hg 2.94-3.21, 2 W 3.05
W 0.0000 0.0000 0.4486 x2  2 W 2.56, 2 Cl 2.58
W 0.0000 0.5000 0.2533 x2  2 W 2.56
Cl 0.0000 0.5000 0.6463 x2  2 W 2.58

Calculated values
Energy above the most stable polymorph in this dataset, eV per atom: 0.0024
Crystal system: orthorhombic
Calculated volume, Å³/f.u.: 81.17

=====

# 5
Compound: Hg2WCl
Source: the Alexandria database
Functional: PBE
Structure: relaxed

Lattice parameters (Å, degrees): 4.3092 4.3092 9.1927 90.00 90.00 90.00
With the nearest neighbours (Å) after each atom.
Space group I-4m2 (No. 119)
One atom of each set of equivalent atoms:
Hg 0.0000 0.0000 0.0000 x2  4 Cl 3.05, 4 Hg 3.15, 4 W 3.15
Hg 0.0000 0.5000 0.2500 x2  4 W 3.05, 4 Hg 3.15, 4 Cl 3.15
W 0.0000 0.5000 0.7500 x2  8 Hg 3.05-3.15, 4 Cl 3.15
Cl 0.0000 0.0000 0.5000 x2  8 Hg 3.05-3.15, 4 W 3.15

Calculated values
Energy above the most stable polymorph in this dataset, eV per atom: 0.6744
Crystal system: tetragonal
Calculated volume, Å³/f.u.: 85.35

=====

# 6
Compound: HgW2Cl
Source: the Alexandria database
Functional: PBE
Structure: relaxed

Lattice parameters (Å, degrees): 5.5130 9.5765 2.7715 90.00 90.00 90.00
With the nearest neighbours (Å) after each atom.
Space group Cmmm (No. 65)
One atom of each set of equivalent atoms:
Hg 0.0000 0.0000 0.0000 x2  2 Cl 2.76, 2 Hg 2.77
W 0.2500 0.2500 0.5000 x4  4 W 2.76-2.77
Cl 0.0000 0.5000 0.0000 x2  2 Hg 2.76, 2 Cl 2.77

Calculated values
Energy above the most stable polymorph in this dataset, eV per atom: 0.9860
Crystal system: orthorhombic
Calculated volume, Å³/f.u.: 73.16

=====

# 7
Compound: Hg2WCl
Source: the Alexandria database
Functional: PBE
Structure: relaxed

Lattice parameters (Å, degrees): 4.0882 4.0882 22.1804 90.00 90.00 90.00
With the nearest neighbours (Å) after each atom.
Space group I-42d (No. 122)
One atom of each set of equivalent atoms:
Hg 0.2416 0.2500 0.1250 x8  4 Hg 2.84-2.94, 2 W 3.12, 2 Cl 3.14
W 0.0000 0.0000 0.0000 x4  4 Cl 2.89, 4 Hg 3.12
Cl 0.0000 0.0000 0.5000 x4  4 W 2.89, 4 Hg 3.14

Calculated values
Energy above the most stable polymorph in this dataset, eV per atom: 0.7481
Crystal system: tetragonal
Calculated volume, Å³/f.u.: 92.68

=====

# 8
Compound: HgW2Cl
Source: the Alexandria database
Functional: PBE
Structure: relaxed

Lattice parameters (Å, degrees): 2.7980 4.0844 7.1940 90.00 90.00 90.00
With the nearest neighbours (Å) after each atom.
Space group Pmm2 (No. 25)
One atom of each set of equivalent atoms:
Hg 0.0000 0.0000 0.0000 x1  2 Hg 2.80, 5 W 3.06-3.07
W 0.0000 0.0000 0.4251 x1  6 W 2.77-2.80, 4 Cl 2.78, 1 Hg 3.06
W 0.5000 0.5000 0.2522 x1  1 Cl 2.52, 6 W 2.77-2.80
Cl 0.5000 0.5000 0.6020 x1  5 W 2.52-2.78, 2 Cl 2.80

Calculated values
Energy above the most stable polymorph in this dataset, eV per atom: 0.3997
Crystal system: orthorhombic
Calculated volume, Å³/f.u.: 82.22

=====

# 9
Compound: Hg2WCl
Source: the Alexandria database
Functional: PBE
Structure: relaxed

Lattice parameters (Å, degrees): 3.0564 3.0564 8.6147 90.00 90.00 90.00
With the nearest neighbours (Å) after each atom.
Space group P4/mmm (No. 123)
One atom of each set of equivalent atoms:
Hg 0.0000 0.0000 0.2362 x2  4 W 2.97, 4 Hg 3.06, 4 Cl 3.14
W 0.5000 0.5000 0.0000 x1  8 Hg 2.97, 4 W 3.06
Cl 0.5000 0.5000 0.5000 x1  4 Cl 3.06, 8 Hg 3.14

Calculated values
Energy above the most stable polymorph in this dataset, eV per atom: 0.2911
Crystal system: tetragonal
Calculated volume, Å³/f.u.: 80.47

=====

# 10
Compound: HgW2Cl
Source: the Alexandria database
Functional: PBE
Structure: relaxed

Lattice parameters (Å, degrees): 3.8654 3.8654 5.0571 90.00 90.00 90.00
With the nearest neighbours (Å) after each atom.
Space group P4/mmm (No. 123)
One atom of each set of equivalent atoms:
Hg 0.0000 0.0000 0.0000 x1  4 Cl 2.73
W 0.0000 0.5000 0.5000 x2  4 W 2.73
Cl 0.5000 0.5000 0.0000 x1  4 Hg 2.73

Calculated values
Energy above the most stable polymorph in this dataset, eV per atom: 1.0874
Crystal system: tetragonal
Calculated volume, Å³/f.u.: 75.56

=====

# 11
Compound: Hg2WCl
Source: the Alexandria database
Functional: PBE
Structure: relaxed

Lattice parameters (Å, degrees): 5.9529 8.8921 2.9635 90.00 90.00 90.00
With the nearest neighbours (Å) after each atom.
Space group Cmmm (No. 65)
One atom of each set of equivalent atoms:
Hg 0.2500 0.2500 0.0000 x4  4 Hg 2.96-2.98, 4 Cl 3.06, 4 W 3.06
W 0.0000 0.0000 0.5000 x2  2 W 2.96, 2 Cl 2.98, 8 Hg 3.06
Cl 0.0000 0.5000 0.5000 x2  2 Cl 2.96, 2 W 2.98, 8 Hg 3.06

Calculated values
Energy above the most stable polymorph in this dataset, eV per atom: 0.3220
Crystal system: orthorhombic
Calculated volume, Å³/f.u.: 78.43

=====

# 12
Compound: Hg2WCl5
Source: the Alexandria database
Functional: PBE
Structure: relaxed

Lattice parameters (Å, degrees): 5.8581 12.7895 7.3891 90.00 102.82 90.00
With the nearest neighbours (Å) after each atom.
Space group Cm (No. 8)
One atom of each set of equivalent atoms:
Hg 0.0000 0.2492 0.0000 x4  2 Hg 2.93
W 0.1431 0.0000 0.5266 x2  5 Cl 2.24-2.36
Cl 0.2939 0.1583 0.4812 x4  1 W 2.26
Cl 0.3139 0.5000 0.6333 x2  1 W 2.24
Cl 0.3572 0.0000 0.8376 x2  1 W 2.36
Cl 0.4290 0.5000 0.2179 x2  1 W 2.35

Calculated values
Energy, eV per atom: -3.4510
Crystal system: monoclinic
Calculated volume, Å³/f.u.: 269.90

=====

# 13
Compound: HgW2Cl
Source: the Alexandria database
Functional: PBE
Structure: relaxed

Lattice parameters (Å, degrees): 4.8187 4.8187 2.9431 90.00 90.00 90.00
With the nearest neighbours (Å) after each atom.
Space group P4/mmm (No. 123)
One atom of each set of equivalent atoms:
Hg 0.0000 0.0000 0.0000 x1  8 W 2.82, 2 Hg 2.94
W 0.0000 0.5000 0.5000 x2  4 Hg 2.82, 4 Cl 2.82, 2 W 2.94
Cl 0.5000 0.5000 0.0000 x1  8 W 2.82, 2 Cl 2.94

Calculated values
Energy above the most stable polymorph in this dataset, eV per atom: 1.0353
Crystal system: tetragonal
Calculated volume, Å³/f.u.: 68.34

=====

# 14
Compound: Hg2WCl
Source: the Alexandria database
Functional: PBE
Structure: relaxed

Lattice parameters (Å, degrees): 3.0125 5.8060 4.7999 90.00 92.27 90.00
With the nearest neighbours (Å) after each atom.
Space group P2/m (No. 10)
One atom of each set of equivalent atoms:
Hg 0.2375 0.0000 0.2534 x2  6 Hg 2.77-3.01
W 0.5000 0.5000 0.5000 x1  2 Cl 2.40
Cl 0.5000 0.5000 0.0000 x1  2 W 2.40

Calculated values
Energy above the most stable polymorph in this dataset, eV per atom: 0.4045
Crystal system: monoclinic
Calculated volume, Å³/f.u.: 83.89